Below is a geometry-optimized PmMg4Cd2 structure, with properties calculated at the PBE level.

Cell: 7.726 6.277 6.177 Å, 76.68 52.24 51.08°
Element x y z (fractional)
Pm 0.000 0.000 0.000
Mg 0.000 0.000 0.500
Mg 0.250 0.250 0.250
Mg 0.500 0.500 0.000
Mg 0.750 0.750 0.750
Cd 0.341 0.341 0.659
Cd 0.659 0.659 0.341

Energy above the lowest structure with this stoichiometry: 250 meV per atom
Formation energy from the elements: 0.109 eV/atom
VASP energy: -1.742 eV per atom
N(E_F): 3.38 states/eV/cell
Theoretical density: 4.35 Mg/m³

=====

Below is a geometry-optimized Pm2Mg6Cd3 structure, with properties calculated at the PBE level.

Cell: 8.327 8.327 4.678 Å, 90.00 90.00 120.00°
Element x y z (fractional)
Pm 0.333 0.667 0.000
Pm 0.667 0.333 0.000
Mg 0.000 0.209 0.000
Mg 0.000 0.738 0.500
Mg 0.209 0.000 0.000
Mg 0.262 0.262 0.500
Mg 0.738 0.000 0.500
Mg 0.791 0.791 0.000
Cd 0.000 0.407 0.500
Cd 0.407 0.000 0.500
Cd 0.593 0.593 0.500

Formation energy from the elements: -0.098 eV/atom
VASP energy: -2.081 eV per atom
N(E_F): 5.13 states/eV/cell
Theoretical density: 4.57 Mg/m³

=====

Below is a geometry-optimized PmMgCd2 structure, with properties calculated at the PBE level.

Cell: 5.165 5.165 5.165 Å, 60.00 60.00 60.00°
Element x y z (fractional)
Pm 0.000 0.000 0.000
Mg 0.500 0.500 0.500
Cd 0.250 0.250 0.250
Cd 0.750 0.750 0.750

Energy above the lowest structure with this stoichiometry: 0 meV per atom
Formation energy from the elements: -0.331 eV/atom
VASP energy: -2.375 eV per atom
N(E_F): 2.15 states/eV/cell
Theoretical density: 6.72 Mg/m³

=====

The lowest theoretical density belongs to which entry?
PmMg4Cd2

=====

VASP energy of number 1 (PmMg4Cd2)?
-1.742 eV per atom

=====

The highest N(E_F) belongs to which entry?
Pm2Mg6Cd3